(1)
{
  "formula": "YTcN2",
  "functional": "PBE",
  "state": "relaxed",
  "lattice": [[4.7839, 0.0000, 0.0000], [0.0000, 4.7839, 0.0000], [0.0000, 0.0000, 10.3424]],
  "species": ["Y", "Y", "Y", "Y", "Tc", "Tc", "Tc", "Tc", "N", "N", "N", "N", "N", "N", "N", "N"],
  "fractional_positions": [[0.0000, 0.0000, 0.0000], [0.0000, 0.5000, 0.2500], [0.5000, 0.0000, 0.7500], [0.5000, 0.5000, 0.5000], [0.0000, 0.0000, 0.5000], [0.0000, 0.5000, 0.7500], [0.5000, 0.0000, 0.2500], [0.5000, 0.5000, 0.0000], [0.1853, 0.2500, 0.6250], [0.2500, 0.6853, 0.8750], [0.2500, 0.8147, 0.3750], [0.3147, 0.2500, 0.1250], [0.6853, 0.7500, 0.1250], [0.7500, 0.1853, 0.3750], [0.7500, 0.3147, 0.8750], [0.8147, 0.7500, 0.6250]],
  "sg": "I-42d, No. 122",
  "relative_energy_ev_per_atom": 0.257,
  "dos_at_fermi_per_ev_cell": 7.2,
  "total_energy_ev_per_atom": -8.9812,
  "raw_formation_energy_mev_per_atom": -611,
  "m_tot_mub_per_fu": 0.00
}


(2)
{
  "formula": "LiCuOsPt2",
  "functional": "PBE",
  "state": "relaxed",
  "lattice": [[4.2261, 0.0000, 0.0000], [0.0000, 4.2261, 0.0000], [0.0000, 0.0000, 3.9615]],
  "species": ["Li", "Cu", "Os", "Pt", "Pt"],
  "fractional_positions": [[0.0000, 0.0000, 0.0000], [0.0000, 0.0000, 0.5000], [0.5000, 0.5000, 0.5000], [0.0000, 0.5000, 0.0000], [0.5000, 0.0000, 0.0000]],
  "sg": "P4/mmm, No. 123",
  "dos_at_fermi_per_ev_cell": 5.2,
  "total_energy_ev_per_atom": -5.0401,
  "ef_kj_per_mol_atoms": 80,
  "m_tot_mub_per_fu": 1.96
}


(3)
{
  "formula": "MnP3",
  "functional": "PBE",
  "state": "relaxed",
  "lattice": [[4.7745, 0.0000, 0.0000], [0.0000, 4.7745, 0.0000], [0.0000, 0.0000, 4.7745]],
  "species": ["Mn", "Mn", "P", "P", "P", "P", "P", "P"],
  "fractional_positions": [[0.0000, 0.0000, 0.0000], [0.5000, 0.5000, 0.5000], [0.0000, 0.2500, 0.5000], [0.0000, 0.7500, 0.5000], [0.2500, 0.5000, 0.0000], [0.5000, 0.0000, 0.2500], [0.5000, 0.0000, 0.7500], [0.7500, 0.5000, 0.0000]],
  "sg": "Pm-3n, No. 223",
  "relative_energy_ev_per_atom": 0.547,
  "dos_at_fermi_per_ev_cell": 4.6,
  "total_energy_ev_per_atom": -5.9624,
  "ef_kj_per_mol_atoms": 37,
  "m_tot_mub_per_fu": 2.43
}


(4)
{
  "formula": "Pm2Pr2Y4Sc",
  "functional": "PBE",
  "state": "relaxed",
  "lattice": [[9.3817, -1.8117, 0.0000], [9.3817, 1.8117, 0.0000], [-4.1457, 0.0000, 8.6833]],
  "species": ["Pm", "Pm", "Pr", "Pr", "Y", "Y", "Y", "Y", "Sc"],
  "fractional_positions": [[0.1472, 0.1472, 0.1635], [0.8528, 0.8528, 0.8365], [0.3378, 0.3378, 0.5007], [0.6622, 0.6622, 0.4993], [0.1841, 0.1841, 0.8340], [0.4808, 0.4808, 0.1723], [0.5192, 0.5192, 0.8277], [0.8159, 0.8159, 0.1660], [0.0000, 0.0000, 0.5000]],
  "sg": "C2/m, No. 12",
  "dos_at_fermi_per_ev_cell": 13.4,
  "total_energy_ev_per_atom": -5.6742,
  "ef_kj_per_mol_atoms": 2,
  "m_tot_mub_per_fu": 0.00
}


(5)
{
  "formula": "KCoCuN2",
  "functional": "PBE",
  "state": "relaxed",
  "lattice": [[4.3929, 0.0000, 0.0000], [0.0000, 4.3929, 0.0000], [0.0000, 0.0000, 4.6339]],
  "species": ["K", "Co", "Cu", "N", "N"],
  "fractional_positions": [[0.0000, 0.0000, 0.0000], [0.0000, 0.0000, 0.5000], [0.5000, 0.5000, 0.5000], [0.0000, 0.5000, 0.0000], [0.5000, 0.0000, 0.0000]],
  "sg": "P4/mmm, No. 123",
  "dos_at_fermi_per_ev_cell": 5.9,
  "total_energy_ev_per_atom": -2.5875,
  "raw_formation_energy_mev_per_atom": 3203,
  "m_tot_mub_per_fu": 1.79
}


(6)
{
  "formula": "Zr2CdRh",
  "functional": "PBE",
  "state": "relaxed",
  "lattice": [[7.7443, 0.0000, 0.0000], [0.0000, 7.7443, 0.0000], [0.0000, 0.0000, 5.7452]],
  "species": ["Zr", "Zr", "Zr", "Zr", "Zr", "Zr", "Zr", "Zr", "Cd", "Cd", "Cd", "Cd", "Rh", "Rh", "Rh", "Rh"],
  "fractional_positions": [[0.2023, 0.2500, 0.1250], [0.2500, 0.7023, 0.3750], [0.2500, 0.7977, 0.8750], [0.2977, 0.2500, 0.6250], [0.7023, 0.7500, 0.6250], [0.7500, 0.2023, 0.8750], [0.7500, 0.2977, 0.3750], [0.7977, 0.7500, 0.1250], [0.0000, 0.0000, 0.5000], [0.0000, 0.5000, 0.7500], [0.5000, 0.0000, 0.2500], [0.5000, 0.5000, 0.0000], [0.0000, 0.0000, 0.0000], [0.0000, 0.5000, 0.2500], [0.5000, 0.0000, 0.7500], [0.5000, 0.5000, 0.5000]],
  "sg": "I-42d, No. 122",
  "dos_at_fermi_per_ev_cell": 16.8,
  "total_energy_ev_per_atom": -6.4308,
  "ef_kj_per_mol_atoms": -9,
  "m_tot_mub_per_fu": 0.00
}


(7)
{
  "formula": "AcHgPd",
  "functional": "PBE",
  "state": "relaxed",
  "lattice": [[4.8070, 0.0000, 0.0000], [-2.4035, 4.1630, 0.0000], [0.0000, 0.0000, 4.0773]],
  "species": ["Ac", "Hg", "Pd"],
  "fractional_positions": [[0.0000, 0.0000, 0.0000], [0.6667, 0.3333, 0.5000], [0.3333, 0.6667, 0.5000]],
  "sg": "P-6m2, No. 187",
  "relative_energy_ev_per_atom": 0.065,
  "dos_at_fermi_per_ev_cell": 3.2,
  "total_energy_ev_per_atom": -3.8455,
  "ef_kj_per_mol_atoms": -62,
  "m_tot_mub_per_fu": 0.00
}


(8)
{
  "formula": "TaBeIn4",
  "functional": "PBE",
  "state": "relaxed",
  "lattice": [[0.0000, 4.0453, 4.0453], [4.0453, 0.0000, 4.0453], [4.0453, 4.0453, 0.0000]],
  "species": ["Ta", "Be", "In", "In", "In", "In"],
  "fractional_positions": [[0.0000, 0.0000, 0.0000], [0.7500, 0.7500, 0.7500], [0.3752, 0.3752, 0.3752], [0.3752, 0.3752, 0.8745], [0.3752, 0.8745, 0.3752], [0.8745, 0.3752, 0.3752]],
  "sg": "F-43m, No. 216",
  "dos_at_fermi_per_ev_cell": 6.6,
  "total_energy_ev_per_atom": -3.5114,
  "ef_kj_per_mol_atoms": 88,
  "m_tot_mub_per_fu": 0.81
}